(1)
Sr3BrN | GGA-PBE | optimized geometry

a b c (Å): 8.2941 7.9391 9.2268
angles (deg): 51.62 44.93 59.16
Last column: nearest neighbours and their distance in Å.
Positions (direct):
Sr: 0.3908 0.3864 0.2336  2 N 2.60-2.61
Sr: 0.3166 0.9091 0.3805  2 N 2.55-2.57
Sr: 0.0601 0.2206 0.8719  2 N 2.55-2.57
Sr: 0.7581 0.2182 0.7422  2 N 2.61-2.67
Sr: 0.9858 0.7435 0.0186  2 N 2.60-2.61
Sr: 0.6184 0.9120 0.5101  2 N 2.61-2.67
Br: 0.8060 0.7355 0.8123  6 Sr 3.18-3.48
Br: 0.5708 0.3945 0.4395  6 Sr 3.18-3.48
N: 0.6883 0.0650 0.1261  6 Sr 2.57-2.61
N: 0.1882 0.0650 0.6261  6 Sr 2.55-2.67

Values from the calculation:
**Raw formation energy**: -0.930 eV per atom
**D(E_F)**: 0.335 states/eV/atom
**Offset from the most stable computed form**: 0.00 eV/f.u.
**Spin magnetization**: 0.00 μB/cell

(2)
Sr2BrN | GGA-PBE | optimized geometry

a b c (Å): 7.2032 7.2032 6.8240
angles (deg): 58.14 58.14 90.00
Last column: nearest neighbours and their distance in Å.
Positions (direct):
Sr: 0.2100 0.6250 0.2500  2 N 2.44
Sr: 0.5400 0.1250 0.2500  2 N 2.44
Sr: 0.3750 0.4600 0.7500  2 N 2.44
Sr: 0.8750 0.7900 0.7500  2 N 2.44
Br: 0.7500 0.2500 0.5000  4 Sr 3.22
Br: 0.0000 0.0000 0.0000  4 Sr 3.22
N: 0.5000 0.5000 0.0000  4 Sr 2.44
N: 0.2500 0.7500 0.5000  4 Sr 2.44

Values from the calculation:
**Raw formation energy**: -1.136 eV per atom
**D(E_F)**: 0.000 states/eV/atom
**Spin magnetization**: 0.00 μB/cell

(3)
SrTa2BrN | GGA-PBE | optimized geometry

a b c (Å): 4.1650 6.8487 4.1650
angles (deg): 90.00 90.00 90.00
Last column: nearest neighbours and their distance in Å.
Positions (direct):
Ta: 0.5000 0.0000 0.0000  2 N 2.08
Ta: 0.0000 0.0000 0.5000  2 N 2.08
N: 0.0000 0.0000 0.0000  4 Ta 2.08
Br: 0.0000 0.5000 0.0000  4 Sr 2.95
Sr: 0.5000 0.5000 0.5000  4 Br 2.95

Values from the calculation:
**Raw formation energy**: -0.190 eV per atom
**D(E_F)**: 0.929 states/eV/atom
**Spin magnetization**: 1.50 μB/cell

(4)
Sr5TaBr2N4 | GGA-PBE | optimized geometry

a b c (Å): 6.4545 5.9965 8.3835
angles (deg): 90.00 90.00 122.56
Last column: nearest neighbours and their distance in Å.
Positions (direct):
N: 0.3746 0.3194 0.0000  1 Ta 2.01
N: 0.5860 0.0000 0.8098  1 Ta 2.00
N: 0.0552 0.6806 0.0000  1 Ta 2.01
N: 0.5860 0.0000 0.1902  1 Ta 2.00
Sr: 0.5291 0.0000 0.5000  2 N 2.62
Sr: 0.0626 0.3575 0.1939  3 N 2.55-2.69
Sr: 0.0626 0.3575 0.8061  3 N 2.55-2.69
Sr: 0.7052 0.6425 0.8061  3 N 2.55-2.69
Sr: 0.7052 0.6425 0.1939  3 N 2.55-2.69
Br: 0.3652 0.3908 0.5000  6 Sr 3.05-3.21, 2 Br 3.41
Br: 0.9744 0.6092 0.5000  6 Sr 3.05-3.21, 2 Br 3.41
Ta: 0.3996 0.0000 0.0000  4 N 2.00-2.01

Values from the calculation:
**Raw formation energy**: -1.127 eV per atom
**D(E_F)**: 0.153 states/eV/atom
**Spin magnetization**: 0.67 μB/cell

(5)
Sr2TaBrN | GGA-PBE | optimized geometry

a b c (Å): 5.8058 4.7199 5.8058
angles (deg): 90.00 90.00 90.00
Last column: nearest neighbours and their distance in Å.
Positions (direct):
Sr: 0.0000 0.0000 0.5000  2 Br 2.90
Sr: 0.5000 0.0000 0.0000  2 Br 2.90
N: 0.5000 0.5000 0.5000  8 Sr 3.74, 4 Ta 4.11
Ta: 0.0000 0.5000 0.0000  2 Br 2.36
Br: 0.0000 0.0000 0.0000  2 Ta 2.36

Values from the calculation:
**Raw formation energy**: 1.292 eV per atom
**D(E_F)**: 0.889 states/eV/atom
**Spin magnetization**: 1.34 μB/cell

(6)
SrTeBrN2 | GGA-PBE | optimized geometry

a b c (Å): 4.5472 4.5472 5.6788
angles (deg): 90.00 90.00 90.00
Last column: nearest neighbours and their distance in Å.
Positions (direct):
Br: 0.0000 0.0000 0.0000  4 N 2.27
N: 0.0000 0.5000 0.0000  2 Br 2.27
N: 0.5000 0.0000 0.0000  2 Br 2.27
Te: 0.0000 0.0000 0.5000  2 Br 2.84
Sr: 0.5000 0.5000 0.5000  4 Te 3.22

Values from the calculation:
**Raw formation energy**: 1.276 eV per atom
**D(E_F)**: 0.511 states/eV/atom
**Offset from the most stable computed form**: 0.09 eV/f.u.
**Spin magnetization**: 2.47 μB/cell

(7)
SrTeBrN2 | GGA-PBE | optimized geometry

a b c (Å): 4.8746 4.8746 6.9204
angles (deg): 90.00 90.00 90.00
Last column: nearest neighbours and their distance in Å.
Positions (direct):
Br: 0.5000 0.5000 0.5000  4 Te 3.45
Te: 0.0000 0.0000 0.5000  4 Br 3.45, 2 Sr 3.46
N: 0.0000 0.5000 0.0000  2 Sr 2.44
N: 0.5000 0.0000 0.0000  2 Sr 2.44
Sr: 0.0000 0.0000 0.0000  4 N 2.44

Values from the calculation:
**Raw formation energy**: 1.257 eV per atom
**D(E_F)**: 0.452 states/eV/atom
**Offset from the most stable computed form**: 0.00 eV/f.u.
**Spin magnetization**: 4.60 μB/cell

(8)
Sr2ThBr2N2 | GGA-PBE | optimized geometry

a b c (Å): 4.6780 4.6780 8.7354
angles (deg): 105.53 105.53 90.00
Last column: nearest neighbours and their distance in Å.
Positions (direct):
N: 0.5000 0.0000 0.0000  2 Th 2.34
N: 0.0000 0.5000 0.0000  2 Th 2.34
Th: 0.0000 0.0000 0.0000  4 N 2.34
Sr: 0.6032 0.6032 0.2064  4 N 2.87
Sr: 0.3968 0.3968 0.7936  4 N 2.87
Br: 0.1890 0.1890 0.3779  1 Th 3.06, 1 Sr 3.36
Br: 0.8110 0.8110 0.6221  1 Th 3.06, 1 Sr 3.36

Values from the calculation:
**Raw formation energy**: -1.529 eV per atom
**Spin magnetization**: 0.00 μB/cell

(9)
SrZnBrN2 | GGA-PBE | optimized geometry

a b c (Å): 5.0022 6.9079 5.0022
angles (deg): 90.00 90.00 90.00
Last column: nearest neighbours and their distance in Å.
Positions (direct):
N: 0.0000 0.0000 0.5000  2 Sr 2.50
N: 0.5000 0.0000 0.0000  2 Sr 2.50
Zn: 0.0000 0.5000 0.0000  2 Sr 3.45, 4 Br 3.54
Sr: 0.0000 0.0000 0.0000  4 N 2.50
Br: 0.5000 0.5000 0.5000  4 Zn 3.54

Values from the calculation:
**Raw formation energy**: 1.277 eV per atom
**D(E_F)**: 0.935 states/eV/atom
**Offset from the most stable computed form**: 0.00 eV/f.u.
**Spin magnetization**: 4.72 μB/cell

(10)
SrZnBr2N | GGA-PBE | optimized geometry

a b c (Å): 6.0241 5.1219 6.0241
angles (deg): 90.00 90.00 90.00
Last column: nearest neighbours and their distance in Å.
Positions (direct):
N: 0.0000 0.5000 0.0000  2 Sr 2.56
Zn: 0.5000 0.5000 0.5000  8 Br 3.95, 4 N 4.26
Br: 0.5000 0.0000 0.0000  2 Sr 3.01
Br: 0.0000 0.0000 0.5000  2 Sr 3.01
Sr: 0.0000 0.0000 0.0000  2 N 2.56

Values from the calculation:
**Raw formation energy**: 0.020 eV per atom
**D(E_F)**: 0.506 states/eV/atom
**Spin magnetization**: 3.00 μB/cell

(11)
SrZnBrN2 | GGA-PBE | optimized geometry

a b c (Å): 4.5419 4.5352 4.5419
angles (deg): 90.00 90.00 90.00
Last column: nearest neighbours and their distance in Å.
Positions (direct):
Zn: 0.0000 0.5000 0.0000  2 Br 2.27
N: 0.0000 0.0000 0.5000  2 Br 2.27
N: 0.5000 0.0000 0.0000  2 Br 2.27
Br: 0.0000 0.0000 0.0000  2 Zn 2.27, 4 N 2.27
Sr: 0.5000 0.5000 0.5000  8 N 3.21, 4 Zn 3.21

Values from the calculation:
**Raw formation energy**: 1.301 eV per atom
**D(E_F)**: 0.335 states/eV/atom
**Offset from the most stable computed form**: 0.12 eV/f.u.
**Spin magnetization**: 0.00 μB/cell

(12)
Sr2ZrBr2N2 | GGA-PBE | optimized geometry

a b c (Å): 4.3723 4.3723 8.8500
angles (deg): 104.30 104.30 90.00
Last column: nearest neighbours and their distance in Å.
Positions (direct):
N: 0.0000 0.5000 0.0000  2 Zr 2.19
N: 0.5000 0.0000 0.0000  2 Zr 2.19
Br: 0.8255 0.8255 0.6509  1 Zr 2.89
Br: 0.1745 0.1745 0.3491  1 Zr 2.89
Sr: 0.4022 0.4022 0.8043  4 N 2.72
Sr: 0.5978 0.5978 0.1957  4 N 2.72
Zr: 0.0000 0.0000 0.0000  4 N 2.19

Values from the calculation:
**Raw formation energy**: -1.518 eV per atom
**Spin magnetization**: 0.00 μB/cell

(13)
SrZr2BrN | GGA-PBE | optimized geometry

a b c (Å): 4.9101 5.8637 4.9101
angles (deg): 90.00 90.00 90.00
Last column: nearest neighbours and their distance in Å.
Positions (direct):
Sr: 0.0000 0.5000 0.0000  2 Br 2.93
Br: 0.0000 0.0000 0.0000  4 Zr 2.46
Zr: 0.5000 0.0000 0.0000  2 Br 2.46
Zr: 0.0000 0.0000 0.5000  2 Br 2.46
N: 0.5000 0.5000 0.5000  4 Sr 3.47, 8 Zr 3.82

Values from the calculation:
**Raw formation energy**: 1.278 eV per atom
**D(E_F)**: 1.244 states/eV/atom
**Spin magnetization**: 0.00 μB/cell

(14)
Ta2BrN | GGA-PBE | optimized geometry

a b c (Å): 4.3216 4.3216 4.3216
angles (deg): 60.00 60.00 60.00
Last column: nearest neighbours and their distance in Å.
Positions (direct):
Ta: 0.7500 0.7500 0.7500  4 Br 2.65, 4 N 2.65
Ta: 0.2500 0.2500 0.2500  4 N 2.65, 4 Br 2.65
N: 0.0000 0.0000 0.0000  8 Ta 2.65
Br: 0.5000 0.5000 0.5000  8 Ta 2.65

Values from the calculation:
**Raw formation energy**: 0.934 eV per atom
**D(E_F)**: 0.946 states/eV/atom
**Offset from the most stable computed form**: 2.92 eV/f.u.
**Spin magnetization**: 1.19 μB/cell

(15)
Ta2Br2N | GGA-PBE | optimized geometry

a b c (Å): 5.9584 5.9584 5.0291
angles (deg): 90.00 90.00 90.00
Last column: nearest neighbours and their distance in Å.
Positions (direct):
Ta: 0.1933 0.3067 0.0000  2 N 2.16
Ta: 0.8067 0.6933 0.0000  2 N 2.16
Ta: 0.6933 0.1933 0.0000  2 N 2.16
Ta: 0.3067 0.8067 0.0000  2 N 2.16
Br: 0.1859 0.6859 0.5000  2 Ta 2.71
Br: 0.3141 0.1859 0.5000  2 Ta 2.71
Br: 0.6859 0.8141 0.5000  2 Ta 2.71
Br: 0.8141 0.3141 0.5000  2 Ta 2.71
N: 0.0000 0.0000 0.0000  4 Ta 2.16
N: 0.5000 0.5000 0.0000  4 Ta 2.16

Values from the calculation:
**Raw formation energy**: -0.095 eV per atom
**D(E_F)**: 0.683 states/eV/atom
**Spin magnetization**: 0.00 μB/cell

(16)
TaBr5N2 | GGA-PBE | optimized geometry

a b c (Å): 7.9528 7.4527 7.5658
angles (deg): 73.43 58.47 58.42
Last column: nearest neighbours and their distance in Å.
Positions (direct):
N: 0.6432 0.4819 0.5210  4 Br 3.39-3.76
N: 0.1587 0.4908 0.4833  4 Br 3.40-3.74
Br: 0.7223 0.9871 0.3852  1 Ta 2.49
Br: 0.8784 0.3437 0.0040  1 Ta 2.43
Br: 0.1001 0.0078 0.6132  1 Ta 2.49
Br: 0.5952 0.0097 0.9969  1 Ta 2.43
Br: 0.2232 0.6732 0.9970  1 Ta 2.45
Ta: 0.9019 0.0059 0.9994  5 Br 2.43-2.49

Values from the calculation:
**Raw formation energy**: 0.617 eV per atom
**D(E_F)**: 0.000 states/eV/atom
**Spin magnetization**: 5.91 μB/cell

(17)
TaBrN2 | GGA-PBE | optimized geometry

a b c (Å): 4.0354 4.0354 4.0354
angles (deg): 60.00 60.00 60.00
Last column: nearest neighbours and their distance in Å.
Positions (direct):
N: 0.7500 0.7500 0.7500  4 Ta 2.47, 4 Br 2.47
N: 0.2500 0.2500 0.2500  4 Ta 2.47, 4 Br 2.47
Ta: 0.5000 0.5000 0.5000  8 N 2.47
Br: 0.0000 0.0000 0.0000  8 N 2.47

Values from the calculation:
**Raw formation energy**: 1.432 eV per atom
**D(E_F)**: 1.043 states/eV/atom
**Offset from the most stable computed form**: 6.31 eV/f.u.
**Spin magnetization**: 0.00 μB/cell

(18)
TaBr2N | GGA-PBE | optimized geometry

a b c (Å): 4.4957 4.4957 4.4957
angles (deg): 60.00 60.00 60.00
Last column: nearest neighbours and their distance in Å.
Positions (direct):
Br: 0.2500 0.2500 0.2500  4 Ta 2.75, 4 N 2.75
Br: 0.7500 0.7500 0.7500  4 Ta 2.75, 4 N 2.75
Ta: 0.5000 0.5000 0.5000  8 Br 2.75
N: 0.0000 0.0000 0.0000  8 Br 2.75

Values from the calculation:
**Raw formation energy**: 1.235 eV per atom
**D(E_F)**: 0.859 states/eV/atom
**Offset from the most stable computed form**: 6.13 eV/f.u.
**Spin magnetization**: 0.00 μB/cell

(19)
TaBr3N | GGA-PBE | optimized geometry

a b c (Å): 5.1591 5.1591 5.1591
angles (deg): 90.00 90.00 90.00
Last column: nearest neighbours and their distance in Å.
Positions (direct):
Br: 0.5000 0.0000 0.0000  2 Ta 2.58
Br: 0.0000 0.0000 0.5000  2 Ta 2.58
Br: 0.0000 0.5000 0.0000  2 Ta 2.58
N: 0.5000 0.5000 0.5000  12 Br 3.65
Ta: 0.0000 0.0000 0.0000  6 Br 2.58

Values from the calculation:
**Raw formation energy**: 0.719 eV per atom
**D(E_F)**: 0.576 states/eV/atom
**Offset from the most stable computed form**: 0.00 eV/f.u.
**Spin magnetization**: 2.76 μB/cell

(20)
TaBr2N | GGA-PBE | optimized geometry

a b c (Å): 11.0138 11.0138 11.0138
angles (deg): 18.08 18.08 18.08
Last column: nearest neighbours and their distance in Å.
Positions (direct):
Ta: 0.0000 0.0000 0.0000  2 Br 2.41
Br: 0.0741 0.0741 0.0741  1 Ta 2.41
Br: 0.9259 0.9259 0.9259  1 Ta 2.41
N: 0.5000 0.5000 0.5000  6 N 3.46, 6 Br 3.61

Values from the calculation:
**Raw formation energy**: 1.314 eV per atom
**D(E_F)**: 0.662 states/eV/atom
**Offset from the most stable computed form**: 6.45 eV/f.u.
**Spin magnetization**: 2.86 μB/cell